1.
The following is a DFT calculation (PBE) of a relaxed K2NaU2O7 crystal.

Cell and atoms, written as CIF:
```
data_K2NaU2O7
_cell_length_a 4.316
_cell_length_b 4.316
_cell_length_c 11.456
_cell_angle_alpha 79.15
_cell_angle_beta 79.15
_cell_angle_gamma 90.00
_symmetry_space_group_name_H-M 'P 1'
_symmetry_Int_Tables_number 1
_symmetry_space_group_name_Hall 'P 1'
loop_
_atom_site_label
_atom_site_fract_x
_atom_site_fract_y
_atom_site_fract_z
O1 0.500 0.500 0.000
O2 0.686 0.686 0.628
U1 0.596 0.596 0.808
Na1 0.000 0.000 0.000
K1 0.191 0.191 0.617
O3 0.907 0.407 0.186
O4 0.593 0.093 0.814
K2 0.809 0.809 0.383
O5 0.407 0.907 0.186
O6 0.093 0.593 0.814
U2 0.404 0.404 0.192
O7 0.314 0.314 0.372
```

***

2.
The following is a DFT calculation (PBE) of a relaxed KNa2U2O7 crystal.

Cell and atoms, written as CIF:
```
data_KNa2U2O7
_cell_length_a 4.330
_cell_length_b 4.331
_cell_length_c 10.445
_cell_angle_alpha 101.96
_cell_angle_beta 101.96
_cell_angle_gamma 90.00
_symmetry_space_group_name_H-M 'P 1'
_symmetry_Int_Tables_number 1
_symmetry_space_group_name_Hall 'P 1'
loop_
_atom_site_label
_atom_site_fract_x
_atom_site_fract_y
_atom_site_fract_z
U1 0.608 0.608 0.215
U2 0.392 0.392 0.785
O1 0.708 0.708 0.416
K1 0.000 0.000 0.000
O2 0.894 0.394 0.788
O3 0.292 0.292 0.584
O4 0.500 0.500 0.000
Na1 0.750 0.250 0.500
O5 0.606 0.106 0.212
O6 0.394 0.894 0.788
O7 0.106 0.606 0.212
Na2 0.250 0.750 0.500
```

***

| no. | calculated total energy (eV per atom) |
| --- | --- |
| 1 | -7.788 |
| 2 | -7.817 |